1.
Compound: Be5Tc4
Source: the Alexandria database
Functional: PBE
Structure: relaxed

Cell lengths 5.7429, 5.7429, 5.7429 Å; angles 94.70, 94.70, 146.72 degrees
Positions (direct):
Be1 0.0000 0.0000 0.0000
Be2 0.3228 0.3228 0.6456
Be3 0.3228 0.6772 0.0000
Be4 0.6772 0.3228 0.0000
Be5 0.6772 0.6772 0.3544
Tc1 0.0000 0.3002 0.3002
Tc2 0.0000 0.6998 0.6998
Tc3 0.3002 0.0000 0.3002
Tc4 0.6998 0.0000 0.6998

Values from the calculation:
Magnetization, μB per formula unit: 0.00
Crystal system: tetragonal
Calculated density, g cm⁻³: 7.3
Uncorrected energy, eV/atom: -6.7990
E above lowest polymorph, meV per atom: 0
Formation energy, meV/atom: -122

---

2.
Compound: CaTc2Mo
Source: the Alexandria database
Functional: PBE
Structure: relaxed

Cell lengths 4.5540, 4.5540, 4.5540 Å; angles 60.00, 60.00, 60.00 degrees
Positions (direct):
Ca1 0.0000 0.0000 0.0000
Tc1 0.2500 0.2500 0.2500
Tc2 0.7500 0.7500 0.7500
Mo1 0.5000 0.5000 0.5000

Values from the calculation:
Magnetization, μB per formula unit: 0.00
Crystal system: cubic
Calculated density, g cm⁻³: 8.3
Uncorrected energy, eV/atom: -7.8940
E above lowest polymorph, meV per atom: 173
Formation energy, meV/atom: 497

---

3.
Compound: Tb2Sm2HoMg
Source: the Alexandria database
Functional: PBE
Structure: relaxed

Cell lengths 10.2502, 11.8737, 3.6209 Å; angles 90.00, 90.00, 90.00 degrees
Positions (direct):
Tb1 0.2491 0.0699 0.0000
Tb2 0.2509 0.5699 0.5000
Tb3 0.7491 0.4301 0.5000
Tb4 0.7509 0.9301 0.0000
Sm1 0.1010 0.2769 0.5000
Sm2 0.3990 0.7769 0.0000
Sm3 0.6010 0.2231 0.0000
Sm4 0.8990 0.7231 0.5000
Ho1 0.0000 0.5000 0.0000
Ho2 0.5000 0.0000 0.5000
Mg1 0.0000 0.0000 0.5000
Mg2 0.5000 0.5000 0.0000

Values from the calculation:
Magnetization, μB per formula unit: 0.00
Crystal system: orthorhombic
Calculated density, g cm⁻³: 6.1
Uncorrected energy, eV/atom: -3.6947
Formation energy, meV/atom: 450